## Cs2GdHoS4 (PBE)

Data for a relaxed Cs2GdHoS4 crystal.

Cell lengths 4.1073, 4.1073, 16.0578 Å; angles 90.00, 90.00, 120.00 degrees
Positions (direct):
1 Cs 0.3333 0.6667 0.2502
2 Cs 0.6667 0.3333 0.7498
3 Gd 0.0000 0.0000 0.0000
4 Ho 0.0000 0.0000 0.5000
5 S 0.3333 0.6667 0.5903
6 S 0.3333 0.6667 0.9076
7 S 0.6667 0.3333 0.0924
8 S 0.6667 0.3333 0.4097

The total energy is -5.265 eV per atom.

=====

## Cs2GdHoTe4 (PBE)

Data for a relaxed Cs2GdHoTe4 crystal.

Cell lengths 4.5549, 4.5549, 17.8387 Å; angles 90.00, 90.00, 120.00 degrees
Positions (direct):
1 Cs 0.3333 0.6667 0.2499
2 Cs 0.6667 0.3333 0.7501
3 Gd 0.0000 0.0000 0.5000
4 Ho 0.0000 0.0000 0.0000
5 Te 0.3333 0.6667 0.5964
6 Te 0.3333 0.6667 0.9059
7 Te 0.6667 0.3333 0.0941
8 Te 0.6667 0.3333 0.4036

The total energy is -4.328 eV per atom.

=====

## Cs2GdI4 (PBE)

Data for a relaxed Cs2GdI4 crystal.

Cell lengths 10.5872, 10.5872, 10.5872 Å; angles 146.52, 146.52, 48.07 degrees
Positions (direct):
1 Cs 0.1386 0.1386 0.0000
2 Cs 0.8614 0.8614 0.0000
3 Gd 0.5000 0.5000 0.0000
4 I 0.0000 0.5000 0.5000
5 I 0.3370 0.3370 0.0000
6 I 0.5000 0.0000 0.5000
7 I 0.6630 0.6630 0.0000

The total energy is -3.145 eV per atom.

=====

## CsGdInTe3 (PBE)

Data for a relaxed CsGdInTe3 crystal.

Cell lengths 8.8341, 8.8341, 12.3673 Å; angles 90.00, 90.00, 149.74 degrees
Positions (direct):
1 Cs 0.2460 0.7540 0.7500
2 Cs 0.7540 0.2460 0.2500
3 Gd 0.5000 0.5000 0.0000
4 Gd 0.5000 0.5000 0.5000
5 In 0.0585 0.9415 0.2500
6 In 0.9415 0.0585 0.7500
7 Te 0.1239 0.8761 0.0272
8 Te 0.1239 0.8761 0.4728
9 Te 0.4489 0.5511 0.2500
10 Te 0.5511 0.4489 0.7500
11 Te 0.8761 0.1239 0.5272
12 Te 0.8761 0.1239 0.9728

The total energy is -3.886 eV per atom.

=====

## CsGdIr (PBE)

Data for a relaxed CsGdIr crystal.

Cell lengths 4.9255, 4.9255, 4.9255 Å; angles 60.00, 60.00, 60.00 degrees
Positions (direct):
1 Cs 0.0000 0.0000 0.0000
2 Gd 0.2500 0.2500 0.2500
3 Ir 0.7500 0.7500 0.7500

The total energy is -3.507 eV per atom.

=====

## CsKGd (PBE)

Data for a relaxed CsKGd crystal.

Cell lengths 6.7728, 6.7728, 6.7728 Å; angles 60.00, 60.00, 60.00 degrees
Positions (direct):
1 Cs 0.0000 0.0000 0.0000
2 K 0.2500 0.2500 0.2500
3 Gd 0.5000 0.5000 0.5000

For the offset from the most stable computed form, the calculation gives 0.0 kJ/mol of atoms.

=====

## CsKGd (PBE)

Data for a relaxed CsKGd crystal.

Cell lengths 6.6955, 6.6955, 6.6955 Å; angles 60.00, 60.00, 60.00 degrees
Positions (direct):
1 Cs 0.0000 0.0000 0.0000
2 K 0.2500 0.2500 0.2500
3 Gd 0.7500 0.7500 0.7500

For the offset from the most stable computed form, the calculation gives 7.1 kJ/mol of atoms.

=====

## Cs2LaGdO4 (PBE)

Data for a relaxed Cs2LaGdO4 crystal.

Cell lengths 3.6700, 3.6700, 13.6329 Å; angles 90.00, 90.00, 120.00 degrees
Positions (direct):
1 Cs 0.3333 0.6667 0.2458
2 Cs 0.6667 0.3333 0.7542
3 La 0.0000 0.0000 0.5000
4 Gd 0.0000 0.0000 0.0000
5 O 0.3333 0.6667 0.5888
6 O 0.3333 0.6667 0.9184
7 O 0.6667 0.3333 0.0816
8 O 0.6667 0.3333 0.4112

The total energy is -6.463 eV per atom.

=====

## Cs2LaGdS4 (PBE)

Data for a relaxed Cs2LaGdS4 crystal.

Cell lengths 4.2344, 4.2344, 16.1128 Å; angles 90.00, 90.00, 120.00 degrees
Positions (direct):
1 Cs 0.3333 0.6667 0.2474
2 Cs 0.6667 0.3333 0.7526
3 La 0.0000 0.0000 0.5000
4 Gd 0.0000 0.0000 0.0000
5 S 0.3333 0.6667 0.5971
6 S 0.3333 0.6667 0.9108
7 S 0.6667 0.3333 0.0892
8 S 0.6667 0.3333 0.4029

The total energy is -5.327 eV per atom.

=====

## CsLiGd (PBE)

Data for a relaxed CsLiGd crystal.

Cell lengths 5.7720, 5.7720, 5.7720 Å; angles 60.00, 60.00, 60.00 degrees
Positions (direct):
1 Cs 0.0000 0.0000 0.0000
2 Li 0.2500 0.2500 0.2500
3 Gd 0.7500 0.7500 0.7500

The total energy is -1.308 eV per atom.

=====

## CsLiGdTe3 (PBE)

Data for a relaxed CsLiGdTe3 crystal.

Cell lengths 8.6562, 8.6562, 11.8167 Å; angles 90.00, 90.00, 150.19 degrees
Positions (direct):
1 Cs 0.2417 0.7583 0.7500
2 Cs 0.7583 0.2417 0.2500
3 Li 0.0418 0.9582 0.2500
4 Li 0.9582 0.0418 0.7500
5 Gd 0.5000 0.5000 0.0000
6 Gd 0.5000 0.5000 0.5000
7 Te 0.1247 0.8753 0.0483
8 Te 0.1247 0.8753 0.4517
9 Te 0.4455 0.5545 0.2500
10 Te 0.5545 0.4455 0.7500
11 Te 0.8753 0.1247 0.5483
12 Te 0.8753 0.1247 0.9517

The total energy is -3.905 eV per atom.

=====

## CsGdLuSe3 (PBE)

Data for a relaxed CsGdLuSe3 crystal.

Cell lengths 8.4978, 8.4978, 11.2575 Å; angles 90.00, 90.00, 149.51 degrees
Positions (direct):
1 Cs 0.2385 0.7615 0.7500
2 Cs 0.7615 0.2385 0.2500
3 Gd 0.5000 0.5000 0.0000
4 Gd 0.5000 0.5000 0.5000
5 Lu 0.0339 0.9661 0.2500
6 Lu 0.9661 0.0339 0.7500
7 Se 0.1180 0.8820 0.0491
8 Se 0.1180 0.8820 0.4509
9 Se 0.4429 0.5571 0.2500
10 Se 0.5571 0.4429 0.7500
11 Se 0.8820 0.1180 0.5491
12 Se 0.8820 0.1180 0.9509

The total energy is -4.990 eV per atom.